No. 1
Crystalline SrLi2Ag at its relaxed geometry. Source: the Alexandria database, functional PBE-GGA.

a b c (Å): 4.4968 4.5127 5.2880
angles (deg): 90.00 90.00 90.00
With the nearest neighbours (Å) after each atom.
Positions (direct):
Sr: 0.0000 0.0000 0.0000  4 Ag 3.19, 8 Li 3.47-3.48
Li: 0.0000 0.5000 0.5000  4 Li 3.19, 4 Ag 3.47, 4 Sr 3.48
Li: 0.5000 0.0000 0.5000  4 Li 3.19, 4 Sr 3.47, 4 Ag 3.48
Ag: 0.5000 0.5000 0.0000  4 Sr 3.19, 8 Li 3.47-3.48

Properties
**Total DFT energy (no corrections)**: -8.47 eV/cell
**Energy of formation from the pure elements**: -27 meV per atom
**Crystal system**: orthorhombic
**Symmetry**: Pmmm

No. 2
Crystalline ErThFeCu at its relaxed geometry. Source: the Alexandria database, functional PBE-GGA.

a b c (Å): 4.8928 4.8928 4.8928
angles (deg): 60.00 60.00 60.00
With the nearest neighbours (Å) after each atom.
Positions (direct):
Er: 0.0000 0.0000 0.0000  4 Cu 3.00, 4 Fe 3.00
Th: 0.5000 0.5000 0.5000  4 Cu 3.00, 4 Fe 3.00
Fe: 0.2500 0.2500 0.2500  4 Th 3.00, 4 Er 3.00
Cu: 0.7500 0.7500 0.7500  4 Th 3.00, 4 Er 3.00

Properties
**Total DFT energy (no corrections)**: -24.69 eV/cell
**Energy of formation from the pure elements**: -36 meV per atom
**Crystal system**: cubic
**Symmetry**: F-43m

No. 3
Crystalline KP4Se at its relaxed geometry. Source: the Alexandria database, functional PBE-GGA.

a b c (Å): 6.0920 6.0920 6.0920
angles (deg): 60.00 60.00 60.00
With the nearest neighbours (Å) after each atom.
Positions (direct):
K: 0.0000 0.0000 0.0000  12 P 3.70, 4 Se 3.73
P: 0.2279 0.5907 0.5907  3 P 2.21
P: 0.5907 0.2279 0.5907  3 P 2.21
P: 0.5907 0.5907 0.2279  3 P 2.21
P: 0.5907 0.5907 0.5907  3 P 2.21
Se: 0.2500 0.2500 0.2500  12 P 3.52, 4 K 3.73

Properties
**Total DFT energy (no corrections)**: -26.21 eV/cell
**Crystal system**: cubic
**Symmetry**: F-43m

No. 4
Crystalline Sc2AgPt at its relaxed geometry. Source: the Alexandria database, functional PBE-GGA.

a b c (Å): 3.3452 3.3452 6.8055
angles (deg): 90.00 90.00 90.00
With the nearest neighbours (Å) after each atom.
Positions (direct):
Sc: 0.0000 0.0000 0.2374  4 Pt 2.86, 4 Ag 2.96
Sc: 0.0000 0.0000 0.7626  4 Pt 2.86, 4 Ag 2.96
Ag: 0.5000 0.5000 0.5000  8 Sc 2.96
Pt: 0.5000 0.5000 0.0000  8 Sc 2.86

Properties
**Total DFT energy (no corrections)**: -24.65 eV/cell
**Energy of formation from the pure elements**: -773 meV per atom
**Crystal system**: tetragonal
**Symmetry**: P4/mmm

No. 5
Crystalline Na3TbTl12 at its relaxed geometry. Source: the Alexandria database, functional PBE-GGA.

a b c (Å): 4.8627 4.8627 19.2441
angles (deg): 90.00 90.00 90.00
With the nearest neighbours (Å) after each atom.
Positions (direct):
Na: 0.0000 0.0000 0.0000  12 Tl 3.42-3.44
Na: 0.0000 0.0000 0.2548  12 Tl 3.39-3.49
Na: 0.0000 0.0000 0.7452  12 Tl 3.39-3.49
Tb: 0.0000 0.0000 0.5000  12 Tl 3.39-3.44
Tl: 0.0000 0.5000 0.1248  8 Tl 3.42-3.44, 4 Na 3.42-3.49
Tl: 0.0000 0.5000 0.3775  2 Tb 3.39, 8 Tl 3.39-3.44, 2 Na 3.39
Tl: 0.0000 0.5000 0.6225  2 Tb 3.39, 8 Tl 3.39-3.44, 2 Na 3.39
Tl: 0.0000 0.5000 0.8752  8 Tl 3.42-3.44, 4 Na 3.42-3.49
Tl: 0.5000 0.0000 0.1248  8 Tl 3.42-3.44, 4 Na 3.42-3.49
Tl: 0.5000 0.0000 0.3775  2 Tb 3.39, 8 Tl 3.39-3.44, 2 Na 3.39
Tl: 0.5000 0.0000 0.6225  2 Tb 3.39, 8 Tl 3.39-3.44, 2 Na 3.39
Tl: 0.5000 0.0000 0.8752  8 Tl 3.42-3.44, 4 Na 3.42-3.49
Tl: 0.5000 0.5000 0.0000  8 Tl 3.42, 4 Na 3.44
Tl: 0.5000 0.5000 0.2510  8 Tl 3.44, 4 Na 3.44
Tl: 0.5000 0.5000 0.5000  8 Tl 3.39, 4 Tb 3.44
Tl: 0.5000 0.5000 0.7490  8 Tl 3.44, 4 Na 3.44

Properties
**Total DFT energy (no corrections)**: -38.50 eV/cell
**Energy of formation from the pure elements**: -95 meV per atom
**Crystal system**: tetragonal
**Symmetry**: P4/mmm

No. 6
Crystalline B3IF at its relaxed geometry. Source: the Alexandria database, functional PBE-GGA.

a b c (Å): 4.5568 4.5568 4.5568
angles (deg): 90.00 90.00 90.00
With the nearest neighbours (Å) after each atom.
Positions (direct):
B: 0.0000 0.0000 0.5000  2 I 2.28
B: 0.0000 0.5000 0.0000  2 I 2.28
B: 0.5000 0.0000 0.0000  2 I 2.28
I: 0.0000 0.0000 0.0000  6 B 2.28
F: 0.5000 0.5000 0.5000  12 B 3.22

Properties
**Total DFT energy (no corrections)**: -10.87 eV/cell
**Crystal system**: cubic
**Symmetry**: Pm-3m

No. 7
Crystalline YMoSN2 at its relaxed geometry. Source: the Alexandria database, functional PBE-GGA.

a b c (Å): 3.9593 3.9593 4.8507
angles (deg): 90.00 90.00 90.00
With the nearest neighbours (Å) after each atom.
Positions (direct):
Y: 0.0000 0.0000 0.0000  4 S 2.80, 8 N 3.13
Mo: 0.5000 0.5000 0.5000  4 N 1.98
S: 0.5000 0.5000 0.0000  2 Mo 2.43
N: 0.0000 0.5000 0.5000  2 Mo 1.98
N: 0.5000 0.0000 0.5000  2 Mo 1.98

Properties
**Total DFT energy (no corrections)**: -40.81 eV/cell
**Crystal system**: tetragonal
**Symmetry**: P4/mmm

No. 8
Crystalline Ba2TaAs2 at its relaxed geometry. Source: the Alexandria database, functional PBE-GGA.

a b c (Å): 9.4815 9.4815 3.4204
angles (deg): 90.00 90.00 90.00
With the nearest neighbours (Å) after each atom.
Positions (direct):
Ba: 0.1338 0.3662 0.0000  6 As 3.15-3.36, 2 Ba 3.42
Ba: 0.3662 0.8662 0.0000  6 As 3.15-3.36, 2 Ba 3.42
Ba: 0.6338 0.1338 0.0000  6 As 3.15-3.36, 2 Ba 3.42
Ba: 0.8662 0.6338 0.0000  6 As 3.15-3.36, 2 Ba 3.42
Ta: 0.0000 0.0000 0.0000  2 Ta 3.42, 4 Ba 3.70
Ta: 0.5000 0.5000 0.0000  2 Ta 3.42, 4 Ba 3.70
As: 0.1690 0.6690 0.5000  6 Ba 3.15-3.36, 2 As 3.42
As: 0.3310 0.1690 0.5000  6 Ba 3.15-3.36, 2 As 3.42
As: 0.6690 0.8310 0.5000  6 Ba 3.15-3.36, 2 As 3.42
As: 0.8310 0.3310 0.5000  6 Ba 3.15-3.36, 2 As 3.42

Properties
**Total DFT energy (no corrections)**: -45.70 eV/cell
**Energy of formation from the pure elements**: 429 meV per atom
**Crystal system**: tetragonal
**Symmetry**: P4/mbm

Number 1: total magnetization 0.0 μB per formula unit. Number 2: total magnetization 1.0 μB per formula unit. Number 3: total magnetization 1.0 μB per formula unit. Number 4: total magnetization 0.0 μB per formula unit. Number 5: total magnetization 0.0 μB per formula unit. Number 6: total magnetization 0.0 μB per formula unit. Number 7: total magnetization 0.0 μB per formula unit. Number 8: total magnetization 2.9 μB per formula unit.